BaSbBr2 (PBE, relaxed); offset from the most stable computed form = 148.4 meV/atom; uncorrected formation energy = -91.8 kJ/mol of atoms; space group = No. 123; ρ = 5.5 g/cm³
1.0
-4.362 -0.314 -1.463
-1.516 -1.440 4.827
-0.786 5.047 1.258
Sb Ba Br
1 1 2
direct
0.500 0.500 0.000 Sb
0.500 0.000 0.500 Ba
0.000 0.000 0.000 Br
0.000 0.500 0.500 Br